# 1
KAlP: relaxed, PBE-GGA.

Output
The space-group type is F-43m. The formation energy is 66.7 kJ/mol of formula units. Its total moment is 0.000 μB/atom.

Lattice parameters (Å, degrees): 4.8835 4.8835 4.8835 60.00 60.00 60.00
Sites, in units of the cell vectors:
1 K 0.5000 0.5000 0.5000
2 P 0.2500 0.2500 0.2500
3 Al 0.0000 0.0000 0.0000

=====

# 2
KAlP: relaxed, PBE-GGA.

Output
The space-group type is R3m. The formation energy is -68.2 kJ/mol of formula units. Its total moment is 0.272 μB/atom.

Lattice parameters (Å, degrees): 3.9321 3.9321 18.6980 90.00 90.00 120.00
Each line ends with the local moment (μB).
Sites, in units of the cell vectors:
1 K 0.0000 0.0000 0.6173  0.04
2 K 0.6667 0.3333 0.9506  0.04
3 K 0.3333 0.6667 0.2840  0.04
4 P 0.3333 0.6667 0.8098  0.07
5 P 0.6667 0.3333 0.4764  0.07
6 P 0.0000 0.0000 0.1431  0.07
7 Al 0.3333 0.6667 0.1014  0.09
8 Al 0.0000 0.0000 0.4347  0.09
9 Al 0.6667 0.3333 0.7681  0.09